Entry 1:
First-principles (PBE) data for a geometry-optimized PrBeRu structure, as listed in Alexandria.

- Fermi-level density of states: 2.15 states/eV/cell
- VASP energy: -18.17 eV/cell
- Volume: 57 Å³ per cell
- Calculated density: 7.27 Mg/m³
- Energy above the lowest structure with this stoichiometry: 0.00 eV/f.u.

Cell: 4.0028 4.0028 4.1337 Å, 90.00 90.00 120.00°
Closest atoms and distances in Å follow each position.
Atoms (fractional coordinates):
Pr 0.0000 0.0000 0.0000  6 Ru 3.10, 6 Be 3.10
Be 0.6667 0.3333 0.5000  3 Ru 2.31
Ru 0.3333 0.6667 0.5000  3 Be 2.31

---

Entry 2:
First-principles (PBE) data for a geometry-optimized PrBeRu structure, as listed in Alexandria.

- Fermi-level density of states: 4.23 states/eV/cell
- VASP energy: -34.50 eV/cell
- Volume: 117 Å³ per cell
- Calculated density: 7.14 Mg/m³
- Energy above the lowest structure with this stoichiometry: 0.92 eV/f.u.

Cell: 4.5544 4.5544 5.8397 Å, 90.00 90.00 105.58°
Closest atoms and distances in Å follow each position.
Atoms (fractional coordinates):
Pr 0.1562 0.8438 0.7500  5 Be 2.82-3.02, 2 Ru 2.89
Pr 0.8438 0.1562 0.2500  5 Be 2.82-3.02, 2 Ru 2.89
Be 0.2597 0.7403 0.2500  2 Ru 2.27
Be 0.7403 0.2597 0.7500  2 Ru 2.27
Ru 0.5000 0.5000 0.0000  2 Be 2.27
Ru 0.5000 0.5000 0.5000  2 Be 2.27

---

Entry 3:
First-principles (PBE) data for a geometry-optimized Pr2BeS4 structure, as listed in Alexandria.

- VASP energy: -83.63 eV/cell
- ΔE_f (raw): -1.7173 eV/atom
- Volume: 304 Å³ per cell
- Calculated density: 4.58 Mg/m³

Cell: 6.3292 6.4128 7.8921 Å, 90.00 108.31 90.00°
Closest atoms and distances in Å follow each position.
Atoms (fractional coordinates):
Pr 0.2220 0.2500 0.0533  6 S 2.82-2.96
Pr 0.2650 0.2500 0.5686  6 S 2.84-2.98
Pr 0.7350 0.7500 0.4314  6 S 2.84-2.98
Pr 0.7780 0.7500 0.9467  6 S 2.82-2.96
Be 0.2305 0.7500 0.8017  4 S 2.08-2.13
Be 0.7695 0.2500 0.1983  4 S 2.08-2.13
S 0.0078 0.5017 0.7417  1 Be 2.08
S 0.0078 0.9983 0.7417  1 Be 2.08
S 0.4078 0.7500 0.0808  1 Be 2.13
S 0.4233 0.7500 0.6239  1 Be 2.13
S 0.5767 0.2500 0.3761  1 Be 2.13
S 0.5922 0.2500 0.9192  1 Be 2.13
S 0.9922 0.0017 0.2583  1 Be 2.08
S 0.9922 0.4983 0.2583  1 Be 2.08

---

Entry 4:
First-principles (PBE) data for a geometry-optimized PrBeSb structure, as listed in Alexandria.

- Fermi-level density of states: 18.13 states/eV/cell
- VASP energy: -74.44 eV/cell
- ΔE_f (raw): 0.0735 eV/atom
- Volume: 446 Å³ per cell
- Calculated density: 6.07 Mg/m³

Cell: 6.4772 6.4772 12.2825 Å, 90.00 90.00 120.00°
Closest atoms and distances in Å follow each position.
Atoms (fractional coordinates):
Pr 0.0000 0.5000 0.3916  4 Be 2.77-2.94
Pr 0.0000 0.5000 0.9417  4 Be 2.77-2.94
Pr 0.5000 0.0000 0.2750  4 Be 2.77-2.94
Pr 0.5000 0.0000 0.7250  4 Be 2.77-2.94
Pr 0.5000 0.5000 0.0583  4 Be 2.77-2.94
Pr 0.5000 0.5000 0.6084  4 Be 2.77-2.94
Be 0.1775 0.5887 0.1667  1 Be 1.99
Be 0.4113 0.5887 0.8333  1 Be 1.99
Be 0.4113 0.8225 0.5000  1 Be 1.99
Be 0.5887 0.1775 0.5000  1 Be 1.99
Be 0.5887 0.4113 0.8333  1 Be 1.99
Be 0.8225 0.4113 0.1667  1 Be 1.99
Sb 0.0000 0.0000 0.1667  4 Be 3.39, 4 Pr 3.50
Sb 0.0000 0.0000 0.5000  4 Be 3.39, 4 Pr 3.50
Sb 0.0000 0.0000 0.8333  4 Be 3.39, 4 Pr 3.50
Sb 0.0000 0.5000 0.6667  4 Be 3.18, 6 Pr 3.32-3.38
Sb 0.5000 0.0000 0.0000  4 Be 3.18, 6 Pr 3.32-3.38
Sb 0.5000 0.5000 0.3333  4 Be 3.18, 6 Pr 3.32-3.38

---

Entry 5:
First-principles (PBE) data for a geometry-optimized PrSc2Be structure, as listed in Alexandria.

- Fermi-level density of states: 3.99 states/eV/cell
- VASP energy: -21.01 eV/cell
- Volume: 91 Å³ per cell
- Calculated density: 4.37 Mg/m³

Cell: 3.2783 3.2783 8.4789 Å, 90.00 90.00 90.00°
Closest atoms and distances in Å follow each position.
Atoms (fractional coordinates):
Pr 0.0000 0.0000 0.0000  4 Pr 3.28, 8 Sc 3.56
Sc 0.5000 0.5000 0.3193  4 Be 2.78, 1 Sc 3.06
Sc 0.5000 0.5000 0.6807  4 Be 2.78, 1 Sc 3.06
Be 0.0000 0.0000 0.5000  8 Sc 2.78

---

Entry 6:
First-principles (PBE) data for a geometry-optimized PrScBe2Si2 structure, as listed in Alexandria.

- Fermi-level density of states: 3.43 states/eV/cell
- VASP energy: -32.93 eV/cell
- ΔE_f (raw): -0.5876 eV/atom
- Volume: 103 Å³ per cell
- Calculated density: 4.18 Mg/m³

Cell: 3.8641 3.8641 7.9987 Å, 90.00 90.00 120.00°
Closest atoms and distances in Å follow each position.
Atoms (fractional coordinates):
Pr 0.0000 0.0000 0.0000  6 Si 3.13, 6 Be 3.14
Sc 0.0000 0.0000 0.5000  6 Be 2.86, 6 Si 2.87
Be 0.3333 0.6667 0.7237  3 Si 2.23
Be 0.6667 0.3333 0.2763  3 Si 2.23
Si 0.3333 0.6667 0.2750  3 Be 2.23
Si 0.6667 0.3333 0.7250  3 Be 2.23

---

Entry 7:
First-principles (PBE) data for a geometry-optimized Pr3BeSe6 structure, as listed in Alexandria.

- Fermi-level density of states: 3.33 states/eV/cell
- VASP energy: -107.96 eV/cell
- ΔE_f (raw): -1.5009 eV/atom
- Volume: 560 Å³ per cell
- Calculated density: 5.37 Mg/m³

Cell: 9.4579 9.4579 6.4038 Å, 90.00 90.00 102.03°
Closest atoms and distances in Å follow each position.
Atoms (fractional coordinates):
Pr 0.1258 0.8742 0.5000  7 Se 2.95-3.16
Pr 0.2195 0.4354 0.5815  7 Se 2.95-3.28
Pr 0.4354 0.2195 0.0815  7 Se 2.95-3.28
Pr 0.5646 0.7805 0.5815  7 Se 2.95-3.28
Pr 0.7805 0.5646 0.0815  7 Se 2.95-3.28
Pr 0.8742 0.1258 0.0000  7 Se 2.95-3.16
Be 0.3051 0.6949 0.1392  4 Se 2.23-2.27
Be 0.6949 0.3051 0.6392  4 Se 2.23-2.27
Se 0.0847 0.5979 0.2703  1 Be 2.26
Se 0.1457 0.1712 0.2997  4 Pr 3.02-3.16, 2 Se 3.22
Se 0.1712 0.1457 0.7997  4 Pr 3.02-3.16, 2 Se 3.22
Se 0.2822 0.7178 0.7947  1 Be 2.23
Se 0.4021 0.9153 0.2703  1 Be 2.26
Se 0.4514 0.5486 0.2540  1 Be 2.27
Se 0.5486 0.4514 0.7540  1 Be 2.27
Se 0.5979 0.0847 0.7703  1 Be 2.26
Se 0.7178 0.2822 0.2947  1 Be 2.23
Se 0.8288 0.8543 0.2997  4 Pr 3.02-3.16, 2 Se 3.22
Se 0.8543 0.8288 0.7997  4 Pr 3.02-3.16, 2 Se 3.22
Se 0.9153 0.4021 0.7703  1 Be 2.26

---

Entry 8:
First-principles (PBE) data for a geometry-optimized Pr3BeSi2 structure, as listed in Alexandria.

- Fermi-level density of states: 20.97 states/eV/cell
- VASP energy: -128.00 eV/cell
- ΔE_f (raw): -0.5151 eV/atom
- Volume: 583 Å³ per cell
- Calculated density: 5.56 Mg/m³

Cell: 11.8481 4.1287 11.9166 Å, 90.00 90.00 90.00°
Closest atoms and distances in Å follow each position.
Atoms (fractional coordinates):
Pr 0.0675 0.2500 0.1164  1 Be 3.05, 5 Si 3.09-3.37
Pr 0.1166 0.7500 0.5594  5 Si 3.01-3.18, 3 Be 3.13
Pr 0.1970 0.2500 0.7916  2 Be 2.98, 4 Si 3.02-3.15
Pr 0.3030 0.7500 0.2916  2 Be 2.98, 4 Si 3.02-3.15
Pr 0.3834 0.2500 0.0594  5 Si 3.01-3.18, 3 Be 3.13
Pr 0.4325 0.7500 0.6164  1 Be 3.05, 5 Si 3.09-3.37
Pr 0.5675 0.2500 0.3836  1 Be 3.05, 5 Si 3.09-3.37
Pr 0.6166 0.7500 0.9406  5 Si 3.01-3.18, 3 Be 3.13
Pr 0.6970 0.2500 0.7084  2 Be 2.98, 4 Si 3.02-3.15
Pr 0.8030 0.7500 0.2084  2 Be 2.98, 4 Si 3.02-3.15
Pr 0.8834 0.2500 0.4406  5 Si 3.01-3.18, 3 Be 3.13
Pr 0.9325 0.7500 0.8836  1 Be 3.05, 5 Si 3.09-3.37
Be 0.1361 0.2500 0.3632  3 Si 2.36-2.39
Be 0.3639 0.7500 0.8632  3 Si 2.36-2.39
Be 0.6361 0.2500 0.1368  3 Si 2.36-2.39
Be 0.8639 0.7500 0.6368  3 Si 2.36-2.39
Si 0.0453 0.7500 0.3167  2 Be 2.39
Si 0.2013 0.7500 0.9770  1 Be 2.36
Si 0.2987 0.2500 0.4770  1 Be 2.36
Si 0.4547 0.2500 0.8167  2 Be 2.39
Si 0.5453 0.7500 0.1833  2 Be 2.39
Si 0.7013 0.7500 0.5230  1 Be 2.36
Si 0.7987 0.2500 0.0230  1 Be 2.36
Si 0.9547 0.2500 0.6833  2 Be 2.39

---

Entry 9:
First-principles (PBE) data for a geometry-optimized PrBe3Si3 structure, as listed in Alexandria.

- Fermi-level density of states: 4.48 states/eV/cell
- VASP energy: -62.85 eV/cell
- ΔE_f (raw): 0.1146 eV/atom
- Volume: 236 Å³ per cell
- Calculated density: 3.56 Mg/m³

Cell: 6.1756 6.1756 6.1756 Å, 90.00 90.00 90.00°
Closest atoms and distances in Å follow each position.
Atoms (fractional coordinates):
Pr 0.0000 0.0000 0.0000  12 Be 3.45, 12 Si 3.45
Pr 0.5000 0.5000 0.5000  12 Be 3.45, 12 Si 3.45
Be 0.0000 0.2500 0.5000  4 Si 2.18
Be 0.0000 0.7500 0.5000  4 Si 2.18
Be 0.2500 0.5000 0.0000  4 Si 2.18
Be 0.5000 0.0000 0.2500  4 Si 2.18
Be 0.5000 0.0000 0.7500  4 Si 2.18
Be 0.7500 0.5000 0.0000  4 Si 2.18
Si 0.0000 0.5000 0.2500  4 Be 2.18
Si 0.0000 0.5000 0.7500  4 Be 2.18
Si 0.2500 0.0000 0.5000  4 Be 2.18
Si 0.5000 0.2500 0.0000  4 Be 2.18
Si 0.5000 0.7500 0.0000  4 Be 2.18
Si 0.7500 0.0000 0.5000  4 Be 2.18

---

Entry 10:
First-principles (PBE) data for a geometry-optimized Pr3Be2Si4 structure, as listed in Alexandria.

- Fermi-level density of states: 3.59 states/eV/cell
- VASP energy: -49.62 eV/cell
- ΔE_f (raw): -0.6820 eV/atom
- Volume: 178 Å³ per cell
- Calculated density: 5.17 Mg/m³

Cell: 5.8856 5.8856 8.1194 Å, 95.79 95.79 39.44°
Closest atoms and distances in Å follow each position.
Atoms (fractional coordinates):
Pr 0.0000 0.0000 0.0000  8 Si 3.11-3.24, 4 Be 3.17
Pr 0.3350 0.3350 0.3334  4 Be 3.11-3.19, 8 Si 3.11-3.22
Pr 0.6650 0.6650 0.6666  4 Be 3.11-3.19, 8 Si 3.11-3.22
Be 0.3909 0.3909 0.7190  3 Si 2.23-2.24
Be 0.6091 0.6091 0.2810  3 Si 2.23-2.24
Si 0.0605 0.0605 0.3844  2 Be 2.24, 1 Si 2.42
Si 0.2838 0.2838 0.9360  1 Be 2.23, 2 Si 2.40
Si 0.7162 0.7162 0.0640  1 Be 2.23, 2 Si 2.40
Si 0.9395 0.9395 0.6156  2 Be 2.24, 1 Si 2.42

---

Entry 11:
First-principles (PBE) data for a geometry-optimized Pr2BeSi3 structure, as listed in Alexandria.

- Fermi-level density of states: 2.62 states/eV/cell
- VASP energy: -67.33 eV/cell
- ΔE_f (raw): -0.6849 eV/atom
- Volume: 238 Å³ per cell
- Calculated density: 5.23 Mg/m³
- Energy above the lowest structure with this stoichiometry: 0.00 eV/f.u.

Cell: 8.1499 7.9853 5.8780 Å, 70.14 67.15 42.71°
Closest atoms and distances in Å follow each position.
Atoms (fractional coordinates):
Pr 0.2458 0.7542 0.2458  10 Si 3.14-3.20, 2 Be 3.18
Pr 0.2500 0.2500 0.2500  8 Si 3.13, 4 Be 3.16
Pr 0.7500 0.7500 0.7500  8 Si 3.13, 4 Be 3.16
Pr 0.7542 0.2458 0.7542  10 Si 3.14-3.20, 2 Be 3.18
Be 0.3336 0.3336 0.6664  3 Si 2.21-2.23
Be 0.6664 0.6664 0.3336  3 Si 2.21-2.23
Si 0.1723 0.1723 0.8277  1 Be 2.23, 2 Si 2.40
Si 0.1748 0.6536 0.8252  1 Be 2.21, 2 Si 2.37-2.40
Si 0.3464 0.8252 0.6536  1 Be 2.21, 2 Si 2.37-2.40
Si 0.6536 0.1748 0.3464  1 Be 2.21, 2 Si 2.37-2.40
Si 0.8252 0.3464 0.1748  1 Be 2.21, 2 Si 2.37-2.40
Si 0.8277 0.8277 0.1723  1 Be 2.23, 2 Si 2.40

---

Entry 12:
First-principles (PBE) data for a geometry-optimized Pr2Be2Si3 structure, as listed in Alexandria.

- Fermi-level density of states: 2.36 states/eV/cell
- VASP energy: -72.90 eV/cell
- ΔE_f (raw): -0.4526 eV/atom
- Volume: 259 Å³ per cell
- Calculated density: 4.92 Mg/m³

Cell: 9.5786 9.5786 6.8220 Å, 90.00 90.00 155.55°
Closest atoms and distances in Å follow each position.
Atoms (fractional coordinates):
Pr 0.0460 0.9540 0.7500  9 Si 2.96-3.09, 4 Be 3.15
Pr 0.1721 0.8279 0.2500  6 Si 3.08-3.14, 6 Be 3.12-3.28
Pr 0.8279 0.1721 0.7500  6 Si 3.08-3.14, 6 Be 3.12-3.28
Pr 0.9540 0.0460 0.2500  9 Si 2.96-3.09, 4 Be 3.15
Be 0.3379 0.6621 0.0961  1 Be 2.10, 1 Si 2.23
Be 0.3379 0.6621 0.4039  1 Be 2.10, 1 Si 2.23
Be 0.6621 0.3379 0.5961  1 Be 2.10, 1 Si 2.23
Be 0.6621 0.3379 0.9039  1 Be 2.10, 1 Si 2.23
Si 0.2041 0.7959 0.7500  4 Be 2.42
Si 0.4389 0.5611 0.5762  1 Be 2.23, 1 Si 2.37
Si 0.4389 0.5611 0.9238  1 Be 2.23, 1 Si 2.37
Si 0.5611 0.4389 0.0762  1 Be 2.23, 1 Si 2.37
Si 0.5611 0.4389 0.4238  1 Be 2.23, 1 Si 2.37
Si 0.7959 0.2041 0.2500  4 Be 2.42

---

- What is the formula in the tenth record?
  Pr3Be2Si4

---

What did the fifth record say?
First-principles (PBE) data for a geometry-optimized PrSc2Be structure, as listed in Alexandria.

- Fermi-level density of states: 3.99 states/eV/cell
- VASP energy: -21.01 eV/cell
- Volume: 91 Å³ per cell
- Calculated density: 4.37 Mg/m³

Cell: 3.2783 3.2783 8.4789 Å, 90.00 90.00 90.00°
Closest atoms and distances in Å follow each position.
Atoms (fractional coordinates):
Pr 0.0000 0.0000 0.0000  4 Pr 3.28, 8 Sc 3.56
Sc 0.5000 0.5000 0.3193  4 Be 2.78, 1 Sc 3.06
Sc 0.5000 0.5000 0.6807  4 Be 2.78, 1 Sc 3.06
Be 0.0000 0.0000 0.5000  8 Sc 2.78

---

- Which of these has the lowest calculated density?
  PrBe3Si3

---

- Which value of calculated density does entry 7 give?
  5.37 Mg/m³